{
  "formula": "Cd2BiRhO6",
  "functional": "GGA-PBE",
  "state": "optimized geometry",
  "lattice_angstrom": [[5.616, 0.000, -0.050], [0.000, 5.742, 0.000], [-0.022, 0.000, 8.093]],
  "species": ["Cd", "Cd", "Cd", "Cd", "Bi", "Bi", "Rh", "Rh", "O", "O", "O", "O", "O", "O", "O", "O", "O", "O", "O", "O"],
  "fractional_positions": [[0.017, 0.947, 0.248], [0.517, 0.553, 0.748], [0.983, 0.053, 0.752], [0.483, 0.447, 0.252], [0.500, 0.000, 0.000], [0.000, 0.500, 0.500], [0.500, 0.000, 0.500], [0.000, 0.500, 0.000], [0.286, 0.690, 0.071], [0.786, 0.810, 0.571], [0.714, 0.310, 0.929], [0.214, 0.190, 0.429], [0.319, 0.714, 0.427], [0.819, 0.786, 0.927], [0.681, 0.286, 0.573], [0.181, 0.214, 0.073], [0.874, 0.560, 0.233], [0.374, 0.940, 0.733], [0.126, 0.440, 0.767], [0.626, 0.060, 0.267]],
  "formation_energy_uncorrected_mev_per_atom": -897.9,
  "sg": "P2_1/c"
}


{
  "formula": "MnFeIr2",
  "functional": "GGA-PBE",
  "state": "optimized geometry",
  "lattice_angstrom": [[2.689, -0.001, 0.000], [-1.198, 2.407, 0.000], [0.000, 0.000, 8.630]],
  "species": ["Fe", "Ir", "Ir", "Mn"],
  "fractional_positions": [[0.500, 0.500, 0.750], [0.000, 0.000, 0.001], [0.000, 0.000, 0.499], [0.500, 0.500, 0.250]],
  "ef_ev_per_atom": 0.0928,
  "polymorph_energy_mev_per_atom": 283,
  "sg": "Cmmm"
}


| no. | total magnetization (μB per atom) | ρ (Mg/m³) |
| --- | --- | --- |
| 1 | 0.00 | 8.051 |
| 2 | 1.72 | 14.723 |